## i
A plane-wave DFT calculation with GGA-PBE was carried out for an optimized crystal structure of SrTe2Pd4.

Lattice parameters (Å, degrees): 5.1268 5.1268 14.3871 90.00 90.00 90.00
Closest atoms and distances in Å follow each position.
Space group I4/mmm (No. 139)
Symmetry-distinct sites (fractional):
Sr (0.0000, 0.0000, 0.0000) x2  4 Pd 2.56
Te (0.0000, 0.0000, 0.3865) x4  1 Pd 2.54
Pd (0.0000, 0.0000, 0.2101) x4  1 Te 2.54
Pd (0.0000, 0.5000, 0.0000) x4  2 Sr 2.56

Computed properties:
- ρ (g cm⁻³) = 6.7

=====

## ii
A plane-wave DFT calculation with GGA-PBE was carried out for an optimized crystal structure of SrTe2Pd4.

Lattice parameters (Å, degrees): 8.1828 8.1828 4.3685 90.00 90.00 90.00
Closest atoms and distances in Å follow each position.
Space group P4_2/mnm (No. 136)
Symmetry-distinct sites (fractional):
Sr (0.0000, 0.0000, 0.0000) x2  6 Te 3.25-3.35, 4 Pd 3.48
Te (0.2193, 0.2193, 0.5000) x4  6 Pd 2.71-2.84
Pd (0.0993, 0.6432, 0.5000) x8  3 Te 2.71-2.84, 6 Pd 2.85-2.98

Computed properties:
- ρ (g cm⁻³) = 8.7

=====

Which of them is the most stable, and which is the least stable? ii and i, in that order.

=====

## i
A plane-wave DFT calculation with GGA-PBE was carried out for an optimized crystal structure of SrThPd.

Lattice parameters (Å, degrees): 3.9797 5.4380 8.6663 90.00 90.00 90.00
Closest atoms and distances in Å follow each position.
Space group Pmmn (No. 59, origin choice 2)
Symmetry-distinct sites (fractional):
Sr (0.2500, 0.2500, 0.1414) x2  5 Pd 3.25-3.46
Th (0.2500, 0.7500, 0.4642) x2  2 Pd 2.82
Pd (0.2500, 0.2500, 0.7666) x2  2 Th 2.82

Computed properties:
- ρ (g cm⁻³) = 7.5

=====

## ii
A plane-wave DFT calculation with GGA-PBE was carried out for an optimized crystal structure of SrThPd.

Lattice parameters (Å, degrees): 3.6967 3.6967 13.7533 90.00 90.00 90.00
Closest atoms and distances in Å follow each position.
Space group I4mm (No. 107)
Symmetry-distinct sites (fractional):
Sr (0.0000, 0.0000, 0.0000) x2  4 Pd 3.45, 1 Th 3.67, 4 Sr 3.70
Th (0.0000, 0.0000, 0.2667) x2  4 Pd 2.97
Pd (0.0000, 0.0000, 0.6637) x2  4 Th 2.97

Computed properties:
- ρ (g cm⁻³) = 7.5

=====

Which of them is the most stable, and which is the least stable? i and ii, in that order.

=====

## i
A plane-wave DFT calculation with GGA-PBE was carried out for an optimized crystal structure of SrTi2Pd2.

Lattice parameters (Å, degrees): 4.4435 4.4435 10.9249 90.00 90.00 90.00
Closest atoms and distances in Å follow each position.
Space group I4/mmm (No. 139)
Symmetry-distinct sites (fractional):
Sr (0.0000, 0.0000, 0.0000) x2  8 Pd 3.44, 8 Ti 3.52
Ti (0.0000, 0.5000, 0.2500) x4  4 Pd 2.59
Pd (0.0000, 0.0000, 0.3715) x4  4 Ti 2.59, 1 Pd 2.81

Computed properties:
- ρ (g cm⁻³) = 6.1

=====

## ii
A plane-wave DFT calculation with GGA-PBE was carried out for an optimized crystal structure of SrTi2Pd2.

Lattice parameters (Å, degrees): 8.1151 8.1151 2.9329 90.00 90.00 90.00
Closest atoms and distances in Å follow each position.
Space group P4/mbm (No. 127)
Symmetry-distinct sites (fractional):
Sr (0.0000, 0.0000, 0.0000) x2  2 Sr 2.93, 4 Ti 3.27
Ti (0.1140, 0.3860, 0.0000) x4  1 Ti 2.62, 6 Pd 2.81-2.83
Pd (0.1753, 0.6753, 0.5000) x4  6 Ti 2.81-2.83, 2 Pd 2.93

Computed properties:
- ρ (g cm⁻³) = 6.8

=====

## iii
A plane-wave DFT calculation with GGA-PBE was carried out for an optimized crystal structure of SrTi2Pd2.

Lattice parameters (Å, degrees): 8.0917 8.0917 3.0076 90.00 90.00 90.00
Closest atoms and distances in Å follow each position.
Space group P4/mbm (No. 127)
Symmetry-distinct sites (fractional):
Sr (0.0000, 0.0000, 0.0000) x2  2 Sr 3.01, 4 Pd 3.15
Ti (0.1504, 0.3496, 0.5000) x4  6 Pd 2.75-2.89, 2 Ti 3.01
Pd (0.1340, 0.6340, 0.0000) x4  6 Ti 2.75-2.89, 3 Pd 3.01-3.07

Computed properties:
- ρ (g cm⁻³) = 6.7

=====

Which of them is the most stable, and which is the least stable? i and iii, in that order.

=====

## i
A plane-wave DFT calculation with GGA-PBE was carried out for an optimized crystal structure of SrTi2Pd.

Lattice parameters (Å, degrees): 6.7750 6.7750 6.7750 90.00 90.00 90.00
Closest atoms and distances in Å follow each position.
Space group Fm-3m (No. 225)
Symmetry-distinct sites (fractional):
Sr (0.0000, 0.0000, 0.0000) x4  8 Ti 2.93
Ti (0.2500, 0.2500, 0.2500) x8  4 Sr 2.93, 4 Pd 2.93
Pd (0.0000, 0.0000, 0.5000) x4  8 Ti 2.93

Computed properties:
- ρ (g cm⁻³) = 6.2

=====

## ii
A plane-wave DFT calculation with GGA-PBE was carried out for an optimized crystal structure of SrTi2Pd.

Lattice parameters (Å, degrees): 4.6351 4.6351 19.5146 90.00 90.00 90.00
Closest atoms and distances in Å follow each position.
Space group I4_1/amd (No. 141, origin choice 2)
Symmetry-distinct sites (fractional):
Sr (0.0000, 0.2500, 0.3750) x4  4 Pd 3.28, 8 Ti 3.56
Ti (0.0000, 0.0000, 0.0000) x8  2 Ti 2.32
Pd (0.0000, 0.2500, 0.8750) x4  4 Ti 2.70

Computed properties:
- ρ (g cm⁻³) = 4.6

=====

Which of them is the most stable, and which is the least stable? i and ii, in that order.